## Mg3Hg2 (PBE)

Data for crystalline Mg3Hg2 at its relaxed geometry.

Values from the calculation:
ΔE to the lowest computed polymorph in eV per atom: 0.117
Total magnetic moment in μB/cell: 0.00
Uncorrected energy in eV per atom: -1.137
Crystal system: trigonal
Fermi-level density of states in states/eV/atom: 0.305

a b c (Å): 6.2587 6.2587 7.9124
angles (deg): 66.70 66.70 60.00
With the nearest neighbours (Å) after each atom.
Sites, in units of the cell vectors:
Mg1 0.3228 0.1772 0.7500  4 Hg 2.80-3.03
Mg2 0.1772 0.7500 0.7500  4 Hg 2.80-3.03
Mg3 0.8228 0.2500 0.2500  4 Hg 2.80-3.03
Mg4 0.2500 0.6772 0.2500  4 Hg 2.80-3.03
Mg5 0.6772 0.8228 0.2500  4 Hg 2.80-3.03
Mg6 0.7500 0.3228 0.7500  4 Hg 2.80-3.03
Hg1 0.3176 0.3176 0.0473  6 Mg 2.80-3.03, 1 Hg 2.85
Hg2 0.8176 0.8176 0.5473  6 Mg 2.80-3.03, 1 Hg 2.85
Hg3 0.6824 0.6824 0.9527  6 Mg 2.80-3.03, 1 Hg 2.85
Hg4 0.1824 0.1824 0.4527  6 Mg 2.80-3.03, 1 Hg 2.85